No. 1
The following is a PBE calculation of an optimized crystal structure of Rb3La3BiSe8, from the Alexandria database.

Unit cell a=8.7888 b=8.7888 c=24.4689 alpha=90.00 beta=90.00 gamma=120.00
Space group R-3m (No. 166, hexagonal axes)
Unique sites:
Rb: 0.0000 0.5000 0.0000 x9
La: 0.0000 0.5000 0.5000 x9
Bi: 0.0000 0.0000 0.5000 x3
Se: 0.0000 0.0000 0.2335 x6
Se: 0.0106 0.5053 0.2324 x18

Properties
* raw formation energy: -22.0 eV per formula unit
* density of states at the Fermi level: 12.3 states/eV/f.u.

No. 2
The following is a PBE calculation of an optimized crystal structure of PmTl2Br6, from the Alexandria database.

Unit cell a=4.302 b=15.396 c=8.392 alpha=90.00 beta=90.00 gamma=90.00
Space group Amm2 (No. 38)
Unique sites:
Pm: 0.000 0.000 0.000 x2
Tl: 0.500 0.165 0.497 x4
Br: 0.000 0.000 0.626 x2
Br: 0.000 0.192 0.209 x4
Br: 0.500 0.000 0.249 x2
Br: 0.500 0.121 0.889 x4

Properties
* raw formation energy: -10.2 eV per formula unit
* density of states at the Fermi level: 9.8 states/eV/f.u.

No. 3
The following is a PBE calculation of an optimized crystal structure of CaAl3Hg3, from the Alexandria database.

Unit cell a=7.388 b=7.388 c=7.388 alpha=90.00 beta=90.00 gamma=90.00
Space group Pm-3n (No. 223)
Unique sites:
Ca: 0.000 0.000 0.000 x2
Al: 0.000 0.250 0.500 x6
Hg: 0.000 0.500 0.250 x6

Properties
* E_tot: -25.595 eV for the cell shown
* density of states at the Fermi level: 2.6 states/eV/f.u.

No. 4
The following is a PBE calculation of an optimized crystal structure of Er4ZnCo2, from the Alexandria database.

Unit cell a=6.836 b=6.853 c=7.221 alpha=113.50 beta=91.36 gamma=96.31
Space group P1 (No. 1)
Unique sites:
Er: 0.000 0.000 0.000 x1
Er: 0.021 0.163 0.513 x1
Er: 0.067 0.494 0.004 x1
Er: 0.131 0.679 0.566 x1
Er: 0.526 0.012 0.013 x1
Er: 0.551 0.257 0.539 x1
Er: 0.590 0.517 0.030 x1
Er: 0.649 0.756 0.536 x1
Zn: 0.307 0.354 0.253 x1
Zn: 0.316 0.860 0.301 x1
Co: 0.297 0.129 0.789 x1
Co: 0.772 0.174 0.809 x1
Co: 0.822 0.366 0.274 x1
Co: 0.835 0.570 0.744 x1

Properties
* E_tot: -69.886 eV for the cell shown
* density of states at the Fermi level: 5.3 states/eV/f.u.

No. 5
The following is a PBE calculation of an optimized crystal structure of BPIr, from the Alexandria database.

Unit cell a=5.383 b=5.449 c=5.669 alpha=90.00 beta=117.99 gamma=90.00
Space group P2_1 (No. 4)
Unique sites:
B: 0.149 0.000 0.396 x2
B: 0.184 0.431 0.633 x2
P: 0.221 0.731 0.193 x2
P: 0.332 0.213 0.946 x2
Ir: 0.187 0.808 0.775 x2
Ir: 0.384 0.350 0.386 x2

Properties
* E_tot: -86.157 eV for the cell shown
* density of states at the Fermi level: 0.7 states/eV/f.u.

No. 6
The following is a PBE calculation of an optimized crystal structure of La4Sn2Os, from the Alexandria database.

Unit cell a=5.331 b=5.331 c=17.116 alpha=90.00 beta=90.00 gamma=90.00
Space group I4/mmm (No. 139)
Unique sites:
La: 0.000 0.000 0.175 x4
La: 0.000 0.500 0.000 x4
Sn: 0.000 0.000 0.363 x4
Os: 0.000 0.000 0.000 x2

Properties
* offset from the most stable computed form: 147 meV/atom
* density of states at the Fermi level: 5.8 states/eV/f.u.

No. 7
The following is a PBE calculation of an optimized crystal structure of NaCe2S4, from the Alexandria database.

Unit cell a=4.068 b=13.273 c=13.516 alpha=90.00 beta=90.00 gamma=90.00
Space group Cmcm (No. 63)
Unique sites:
Na: 0.000 0.107 0.250 x4
Ce: 0.000 0.367 0.073 x8
S: 0.000 0.000 0.000 x4
S: 0.000 0.267 0.611 x8
S: 0.000 0.457 0.250 x4

Properties
* offset from the most stable computed form: 49 meV/atom
* raw formation energy: -12.0 eV per formula unit
* density of states at the Fermi level: 8.8 states/eV/f.u.

No. 8
The following is a PBE calculation of an optimized crystal structure of CdMoAsI2, from the Alexandria database.

Unit cell a=5.909 b=5.909 c=5.095 alpha=90.00 beta=90.00 gamma=90.00
Space group P4/mmm (No. 123)
Unique sites:
Cd: 0.000 0.000 0.000 x1
Mo: 0.500 0.500 0.000 x1
As: 0.500 0.500 0.500 x1
I: 0.000 0.500 0.500 x2

Properties
* raw formation energy: 3.9 eV per formula unit
* density of states at the Fermi level: 4.0 states/eV/f.u.

No. 9
The following is a PBE calculation of an optimized crystal structure of Mn2CoMo, from the Alexandria database.

Unit cell a=2.649 b=3.521 c=5.313 alpha=90.00 beta=90.00 gamma=90.00
Space group Pmm2 (No. 25)
Unique sites:
Mn: 0.000 0.000 0.000 x1
Mn: 0.500 0.500 0.218 x1
Co: 0.500 0.500 0.754 x1
Mo: 0.000 0.000 0.505 x1

Properties
* E_tot: -35.879 eV for the cell shown
* density of states at the Fermi level: 5.3 states/eV/f.u.

No. 10
The following is a PBE calculation of an optimized crystal structure of MnTlZn, from the Alexandria database.

Unit cell a=3.128 b=3.128 c=11.525 alpha=90.00 beta=90.00 gamma=90.00
Space group I4mm (No. 107)
Unique sites:
Mn: 0.000 0.000 0.000 x2
Tl: 0.000 0.000 0.319 x2
Zn: 0.000 0.000 0.623 x2

Properties
* offset from the most stable computed form: 0 meV/atom
* density of states at the Fermi level: 1.7 states/eV/f.u.

No. 11
The following is a PBE calculation of an optimized crystal structure of AlNiTe2, from the Alexandria database.

Unit cell a=3.7312 b=3.7312 c=25.3297 alpha=90.00 beta=90.00 gamma=120.00
Space group R-3m (No. 166, hexagonal axes)
Unique sites:
Al: 0.0000 0.0000 0.0000 x3
Ni: 0.0000 0.0000 0.5000 x3
Te: 0.0000 0.0000 0.1114 x6

Properties
* raw formation energy: 0.4 eV per formula unit
* density of states at the Fermi level: 2.5 states/eV/f.u.

No. 12
The following is a PBE calculation of an optimized crystal structure of MgUS4, from the Alexandria database.

Unit cell a=6.300 b=3.984 c=6.814 alpha=90.00 beta=107.46 gamma=90.00
Space group P2/m (No. 10)
Unique sites:
Mg: 0.000 0.000 0.000 x1
U: 0.500 0.500 0.000 x1
S: 0.238 0.500 0.208 x2
S: 0.284 0.000 0.784 x2

Properties
* raw formation energy: -6.8 eV per formula unit

Number 1: V 36.38 Å³/atom. Number 2: V 30.88 Å³/atom. Number 3: V 28.81 Å³/atom. Number 4: V 21.97 Å³/atom. Number 5: V 12.24 Å³/atom. Number 6: V 34.75 Å³/atom. Number 7: V 26.06 Å³/atom. Number 8: V 35.58 Å³/atom. Number 9: V 12.39 Å³/atom. Number 10: V 18.79 Å³/atom. Number 11: V 25.45 Å³/atom. Number 12: V 27.19 Å³/atom.